# 1
{
  "formula": "MgFeBO4",
  "functional": "PBE+U",
  "state": "optimized geometry",
  "de_polymorph_ev_per_atom": 0.4686,
  "density_g_cm3": 4.464,
  "m_tot_mub_per_fu": 1.00,
  "lattice": [[-2.717, 2.740, 3.872], [2.717, -2.740, 3.872], [2.717, 2.740, -3.872]],
  "species": ["Mg", "Mg", "Fe", "Fe", "B", "B", "O", "O", "O", "O", "O", "O", "O", "O"],
  "fractional_positions": [[0.500, 0.000, 0.000], [0.500, 0.500, 0.500], [0.000, 0.000, 0.000], [0.500, 0.000, 0.500], [0.107, 0.357, 0.750], [0.893, 0.643, 0.250], [0.221, 0.744, 0.477], [0.233, 0.256, 0.977], [0.237, 0.250, 0.513], [0.237, 0.724, 0.987], [0.763, 0.276, 0.013], [0.763, 0.750, 0.487], [0.767, 0.744, 0.023], [0.779, 0.256, 0.523]]
}

=====

# 2
{
  "formula": "Mg6FeBO8",
  "functional": "PBE+U",
  "state": "optimized geometry",
  "de_polymorph_ev_per_atom": 0.0000,
  "density_g_cm3": 3.600,
  "m_tot_mub_per_fu": 3.71,
  "lattice": [[4.314, 0.000, 0.000], [0.000, 4.314, 0.000], [0.000, 0.000, 8.441]],
  "species": ["Mg", "Mg", "Mg", "Mg", "Mg", "Mg", "Fe", "B", "O", "O", "O", "O", "O", "O", "O", "O"],
  "fractional_positions": [[0.000, 0.000, 0.000], [0.000, 0.000, 0.500], [0.000, 0.500, 0.237], [0.000, 0.500, 0.763], [0.500, 0.000, 0.237], [0.500, 0.000, 0.763], [0.500, 0.500, 0.500], [0.500, 0.500, 0.000], [0.000, 0.000, 0.250], [0.000, 0.000, 0.750], [0.000, 0.500, 0.000], [0.000, 0.500, 0.500], [0.500, 0.000, 0.000], [0.500, 0.000, 0.500], [0.500, 0.500, 0.167], [0.500, 0.500, 0.833]]
}

=====

# 3
{
  "formula": "MgFeBO4",
  "functional": "PBE+U",
  "state": "optimized geometry",
  "de_polymorph_ev_per_atom": 0.0000,
  "density_g_cm3": 3.695,
  "m_tot_mub_per_fu": 4.98,
  "lattice": [[9.383, 0.000, 0.000], [0.000, 3.131, 0.000], [0.000, 0.000, 9.483]],
  "species": ["Mg", "Mg", "Mg", "Mg", "Fe", "Fe", "Fe", "Fe", "B", "B", "B", "B", "O", "O", "O", "O", "O", "O", "O", "O", "O", "O", "O", "O", "O", "O", "O", "O"],
  "fractional_positions": [[0.101, 0.250, 0.186], [0.399, 0.750, 0.686], [0.601, 0.250, 0.314], [0.899, 0.750, 0.814], [0.118, 0.250, 0.568], [0.382, 0.750, 0.068], [0.618, 0.250, 0.932], [0.882, 0.750, 0.432], [0.167, 0.250, 0.871], [0.333, 0.750, 0.371], [0.667, 0.250, 0.629], [0.833, 0.750, 0.129], [0.008, 0.250, 0.385], [0.024, 0.250, 0.867], [0.240, 0.250, 0.002], [0.247, 0.250, 0.745], [0.253, 0.750, 0.245], [0.260, 0.750, 0.502], [0.476, 0.750, 0.367], [0.492, 0.750, 0.885], [0.508, 0.250, 0.115], [0.524, 0.250, 0.633], [0.740, 0.250, 0.498], [0.747, 0.250, 0.755], [0.753, 0.750, 0.255], [0.760, 0.750, 0.998], [0.976, 0.750, 0.133], [0.992, 0.750, 0.615]]
}

=====

# 4
{
  "formula": "Mg6FeBO8",
  "functional": "PBE+U",
  "state": "optimized geometry",
  "de_polymorph_ev_per_atom": 0.0859,
  "density_g_cm3": 3.709,
  "m_tot_mub_per_fu": 4.43,
  "lattice": [[4.223, 0.000, 0.000], [0.000, 4.223, 0.000], [0.000, 0.000, 8.548]],
  "species": ["Mg", "Mg", "Mg", "Mg", "Mg", "Mg", "Fe", "B", "O", "O", "O", "O", "O", "O", "O", "O"],
  "fractional_positions": [[0.000, 0.000, 0.000], [0.000, 0.500, 0.253], [0.000, 0.500, 0.747], [0.500, 0.000, 0.253], [0.500, 0.000, 0.747], [0.500, 0.500, 0.000], [0.000, 0.000, 0.500], [0.500, 0.500, 0.500], [0.000, 0.000, 0.245], [0.000, 0.000, 0.755], [0.000, 0.500, 0.000], [0.000, 0.500, 0.500], [0.500, 0.000, 0.000], [0.500, 0.000, 0.500], [0.500, 0.500, 0.255], [0.500, 0.500, 0.745]]
}

=====

| no. | VASP energy (eV per atom) |
| --- | --- |
| 1 | -6.580 |
| 2 | -5.959 |
| 3 | -7.048 |
| 4 | -5.873 |